# Cs5CoAgCl8

A relaxed Cs5CoAgCl8 crystal (GGA-PBE, Alexandria).

Calculated values
- V: 1073 Å³ per cell
- Magnetic moment: 3.000 μB per formula unit
- SG: Fmm2
- VASP energy: -3.460 eV per atom
- ρ: 3.45 g cm⁻³
- E_form (uncorrected): -1526 meV/atom

Unit cell a=13.770 b=9.433 c=13.782 alpha=69.91 beta=40.04 gamma=70.05
Positions (direct):
Cs  0.092  0.908  0.092
Cs  0.224  0.421  0.579
Cs  0.407  0.908  0.407
Cs  0.408  0.408  0.092
Cs  0.421  0.224  0.776
Cs  0.593  0.721  0.593
Cs  0.721  0.593  0.092
Cs  0.908  0.092  0.908
Cs  0.908  0.407  0.279
Cs  0.908  0.908  0.592
Co  0.409  0.910  0.090
Co  0.910  0.409  0.591
Ag  0.149  0.609  0.851
Ag  0.609  0.149  0.391
Cl  0.039  0.333  0.961
Cl  0.059  0.763  0.741
Cl  0.101  0.216  0.511
Cl  0.216  0.101  0.172
Cl  0.259  0.563  0.941
Cl  0.328  0.718  0.282
Cl  0.333  0.039  0.667
Cl  0.489  0.828  0.899
Cl  0.509  0.509  0.491
Cl  0.563  0.259  0.237
Cl  0.602  0.990  0.010
Cl  0.718  0.328  0.672
Cl  0.763  0.059  0.437
Cl  0.802  0.802  0.198
Cl  0.828  0.489  0.784
Cl  0.990  0.602  0.398

---

# CoCuAg2Cl

A relaxed CoCuAg2Cl crystal (GGA-PBE, Alexandria).

Calculated values
- V: 102 Å³ per cell
- Magnetic moment: 1.070 μB per formula unit
- SG: P4/mmm
- VASP energy: -2.821 eV per atom
- ρ: 6.07 g cm⁻³
- E_form (uncorrected): 929 meV/atom

Unit cell a=5.022 b=5.022 c=4.051 alpha=90.00 beta=90.00 gamma=90.00
Positions (direct):
Co  0.000  0.000  0.000
Cu  0.500  0.500  0.000
Ag  0.000  0.500  0.500
Ag  0.500  0.000  0.500
Cl  0.000  0.000  0.500

---

# Co2CuAgCl6

A relaxed Co2CuAgCl6 crystal (GGA-PBE, Alexandria).

Calculated values
- V: 502 Å³ per cell
- Magnetic moment: 6.036 μB per formula unit
- SG: C2/c
- VASP energy: -3.717 eV per atom
- ρ: 3.32 g cm⁻³
- E_form (uncorrected): -493 meV/atom

Unit cell a=8.961 b=8.961 c=6.771 alpha=105.99 beta=105.99 gamma=87.23
Positions (direct):
Co  0.113  0.273  0.224
Co  0.273  0.113  0.724
Co  0.727  0.887  0.276
Co  0.887  0.727  0.776
Cu  0.277  0.723  0.250
Cu  0.723  0.277  0.750
Ag  0.387  0.613  0.750
Ag  0.613  0.387  0.250
Cl  0.076  0.196  0.499
Cl  0.124  0.639  0.918
Cl  0.196  0.076  0.999
Cl  0.295  0.469  0.348
Cl  0.361  0.876  0.582
Cl  0.469  0.295  0.848
Cl  0.531  0.705  0.152
Cl  0.639  0.124  0.418
Cl  0.705  0.531  0.652
Cl  0.804  0.924  0.001
Cl  0.876  0.361  0.082
Cl  0.924  0.804  0.501